Density functional theory data (PBE) for a geometry-optimized NiSbBr2 structure.

Cell and atoms, written as POSCAR:
```
NiSbBr2
1.0
3.245 0.000 0.000
0.000 3.245 0.000
0.000 0.000 8.886
Ni Sb Br
1 1 2
Direct
0.000 0.000 0.000
0.000 0.000 0.500
0.500 0.500 0.180
0.500 0.500 0.820
```

The value obtained for the distance to the lowest polymorph of the same formula is 668 meV/atom. As for the symmetry: P4/mmm (123). The calculation puts the total magnetization at 1.162 μB per cell. The formation energy (no corrections) comes out at 0.3675 eV/atom.

---

Density functional theory data (PBE) for a geometry-optimized NiSb2Br2 structure.

Cell and atoms, written as POSCAR:
```
NiSb2Br2
1.0
8.997 0.000 0.000
0.000 8.997 0.000
0.000 0.000 3.268
Ni Sb Br
2 4 4
Direct
0.000 0.000 0.000
0.500 0.500 0.000
0.202 0.298 0.500
0.298 0.798 0.500
0.702 0.202 0.500
0.798 0.702 0.500
0.119 0.619 0.000
0.381 0.119 0.000
0.619 0.881 0.000
0.881 0.381 0.000
```

As for the symmetry: P4/mbm (127). The calculation puts the total magnetization at 0.000 μB per cell. The formation energy (no corrections) comes out at 0.7267 eV/atom.

---

Density functional theory data (PBE) for a geometry-optimized NiSb2Br structure.

Cell and atoms, written as POSCAR:
```
NiSb2Br
1.0
2.005 1.158 7.185
-2.005 1.158 7.185
0.000 -2.316 7.185
Ni Sb Br
1 2 1
Direct
0.000 0.000 0.000
0.385 0.385 0.385
0.612 0.612 0.612
0.170 0.170 0.170
```

The value obtained for the distance to the lowest polymorph of the same formula is 26 meV/atom. As for the symmetry: R3m (160). The calculation puts the total magnetization at 0.000 μB per cell. The formation energy (no corrections) comes out at -0.1706 eV/atom.

---

Density functional theory data (PBE) for a geometry-optimized NiSbBr2 structure.

Cell and atoms, written as POSCAR:
```
NiSbBr2
1.0
5.288 0.000 0.000
0.000 3.418 0.000
-1.791 0.000 6.343
Ni Sb Br
1 1 2
Direct
0.000 0.000 0.000
0.500 0.000 0.000
0.166 0.500 0.272
0.834 0.500 0.728
```

The value obtained for the distance to the lowest polymorph of the same formula is 302 meV/atom. As for the symmetry: P2/m (10). The calculation puts the total magnetization at 0.967 μB per cell. The formation energy (no corrections) comes out at 0.0013 eV/atom.

---

Density functional theory data (PBE) for a geometry-optimized NiSb2Br structure.

Cell and atoms, written as POSCAR:
```
NiSb2Br
1.0
1.845 -2.841 0.000
1.845 2.841 0.000
0.000 0.000 9.117
Ni Sb Br
1 2 1
Direct
0.000 0.000 0.000
0.000 0.000 0.515
0.500 0.500 0.816
0.500 0.500 0.178
```

The value obtained for the distance to the lowest polymorph of the same formula is 365 meV/atom. As for the symmetry: Cmm2 (35). The calculation puts the total magnetization at 0.000 μB per cell. The formation energy (no corrections) comes out at 0.1688 eV/atom.

---

Density functional theory data (PBE) for a geometry-optimized NiSb2Br structure.

Cell and atoms, written as POSCAR:
```
NiSb2Br
1.0
3.303 0.000 0.000
0.000 4.750 0.000
0.000 0.000 5.918
Ni Sb Br
1 2 1
Direct
0.000 0.000 0.000
0.000 0.500 0.500
0.500 0.500 0.000
0.500 0.000 0.500
```

The value obtained for the distance to the lowest polymorph of the same formula is 636 meV/atom. As for the symmetry: Pmmm (47). The calculation puts the total magnetization at 0.372 μB per cell. The formation energy (no corrections) comes out at 0.4398 eV/atom.